[1]
# Be2AlBr SCAN PBEsol geometry
# ΔE_f (raw) = 580 meV per atom
# D(E_F) = 2.8 states/eV/cell
# E_tot = -8.400 eV per atom
# magnetic moment = 0.00 μB/atom
data_Be2AlBr
_symmetry_space_group_name_H-M 'C m m m'
_symmetry_Int_Tables_number 65
_symmetry_space_group_name_Hall '-C 2 2'
_cell_length_a 3.137
_cell_length_b 5.552
_cell_length_c 7.406
_cell_angle_alpha 90.00
_cell_angle_beta 90.00
_cell_angle_gamma 90.00
loop_
_atom_site_label
_atom_site_fract_x
_atom_site_fract_y
_atom_site_fract_z
_atom_site_occupancy
Be1 0.000 0.000 0.250 1
Al1 0.000 0.500 0.000 1
Br1 0.000 0.500 0.500 1

---

[2]
# Be2AlBr SCAN PBEsol geometry
# ΔE_f (raw) = 820 meV per atom
# D(E_F) = 1.7 states/eV/cell
# E_tot = -8.160 eV per atom
# magnetic moment = 0.00 μB/atom
data_Be2AlBr
_symmetry_space_group_name_H-M 'P m m m'
_symmetry_Int_Tables_number 47
_cell_length_a 3.001
_cell_length_b 3.990
_cell_length_c 5.371
_cell_angle_alpha 90.00
_cell_angle_beta 90.00
_cell_angle_gamma 90.00
loop_
_symmetry_equiv_pos_as_xyz
'x,y,z'
'-x,-y,-z'
'-x,-y,z'
'x,y,-z'
'x,-y,-z'
'-x,y,z'
'-x,y,-z'
'x,-y,z'
loop_
_atom_site_label
_atom_site_fract_x
_atom_site_fract_y
_atom_site_fract_z
_atom_site_occupancy
Be1 0.000 0.000 0.000 1
Be2 0.500 0.000 0.500 1
Al1 0.000 0.500 0.500 1
Br1 0.500 0.500 0.000 1

---

Q: Among the records above, which one has the lowest D(E_F)?
A: number 2